{
  "formula": "MgScMoO4",
  "functional": "PBE+U",
  "state": "optimized geometry",
  "space_group": "No. 74",
  "magnetic_moment_mub_per_cell": 6.00,
  "energy_ha_per_atom": -0.279,
  "cell": [[-3.342, 1.427, -5.189], [0.027, -3.855, -4.945], [-5.153, -3.266, -1.446]],
  "species": ["Mo", "Mo", "O", "O", "O", "O", "O", "O", "O", "O", "Sc", "Sc", "Mg", "Mg"],
  "fractional_positions": [[0.500, 0.000, 0.500], [0.000, 0.000, 0.500], [0.233, 0.247, 0.747], [0.757, 0.756, 0.730], [0.243, 0.244, 0.270], [0.243, 0.770, 0.744], [0.767, 0.753, 0.253], [0.774, 0.247, 0.747], [0.757, 0.230, 0.256], [0.226, 0.753, 0.253], [0.000, 0.500, 0.500], [0.000, 0.000, 0.000], [0.623, 0.627, 0.127], [0.377, 0.373, 0.873]]
}